This record from Alexandria via LeMat-Bulk describes an optimized crystal structure of TaTi2Pt5Rh. The functional is GGA-PBE.

For the energy relative to the elements, the calculation gives -0.287 eV per atom.

The structure belongs to space group I4/mcm (No. 140); the cell edges are 7.411, 7.411 and 10.855 Å and the angles 90.00°, 90.00° and 90.00°. The distinct sites, in fractional coordinates, are Ta at (0.000, 0.000, 0.250), Ti at (0.108, 0.392, 0.000), Pt at (0.000, 0.000, 0.000), Pt at (0.212, 0.288, 0.368) and Rh at (0.000, 0.500, 0.250).

=====

This record from Alexandria via LeMat-Bulk describes an optimized crystal structure of Ac2CeSiO8. The functional is GGA-PBE.

As for the formation energy without anion corrections: -2502 meV per atom.

The structure belongs to space group P-3m1 (No. 164); the cell edges are 5.6055, 5.6055 and 6.0868 Å and the angles 90.00°, 90.00° and 120.00°. The distinct sites, in fractional coordinates, are Ac at (0.3333, 0.6667, 0.3681), Ce at (0.0000, 0.0000, 0.0000), Si at (0.0000, 0.0000, 0.5000), O at (0.1477, 0.2954, 0.6785) and O at (0.3333, 0.6667, 0.0127).

=====

This record from Alexandria via LeMat-Bulk describes an optimized crystal structure of ScReHg. The functional is GGA-PBE.

For the energy relative to the elements, the calculation gives 0.268 eV per atom.

The structure belongs to space group Imm2 (No. 44); the cell edges are 2.889, 4.213 and 9.131 Å and the angles 90.00°, 90.00° and 90.00°. The distinct sites, in fractional coordinates, are Sc at (0.000, 0.000, 0.000), Re at (0.000, 0.000, 0.654) and Hg at (0.000, 0.000, 0.323).

=====

This record from Alexandria via LeMat-Bulk describes an optimized crystal structure of DyPuZnFe. The functional is GGA-PBE.

For the energy relative to the elements, the calculation gives 0.018 eV per atom.

The structure belongs to space group F-43m (No. 216); the cell edges are 6.927, 6.927 and 6.927 Å and the angles 90.00°, 90.00° and 90.00°. The distinct sites, in fractional coordinates, are Dy at (0.000, 0.000, 0.000), Pu at (0.000, 0.000, 0.500), Zn at (0.250, 0.250, 0.750) and Fe at (0.250, 0.250, 0.250).

=====

This record from Alexandria via LeMat-Bulk describes an optimized crystal structure of Hg3PbF. The functional is GGA-PBE.

As for the formation energy without anion corrections: -221 meV per atom.

The structure belongs to space group Pm-3m (No. 221); the cell edges are 5.120, 5.120 and 5.120 Å and the angles 90.00°, 90.00° and 90.00°. The distinct sites, in fractional coordinates, are Hg at (0.000, 0.000, 0.500), Pb at (0.500, 0.500, 0.500) and F at (0.000, 0.000, 0.000).

=====

This record from Alexandria via LeMat-Bulk describes an optimized crystal structure of Ca2UAgSe5. The functional is GGA-PBE.

As for the formation energy without anion corrections: -1268 meV per atom.

The structure belongs to space group Cmc2_1 (No. 36); the cell edges are 4.177, 17.601 and 13.392 Å and the angles 90.00°, 90.00° and 90.00°. The distinct sites, in fractional coordinates, are Ca at (0.000, 0.077, 0.000), Ca at (0.000, 0.104, 0.674), U at (0.000, 0.231, 0.378), Ag at (0.000, 0.419, 0.790), Se at (0.000, 0.081, 0.416), Se at (0.000, 0.252, 0.015), Se at (0.000, 0.271, 0.739), Se at (0.000, 0.386, 0.346) and Se at (0.000, 0.495, 0.621).

=====

Ordered total DFT energy (no corrections) results: -67.779, -89.259, -18.276, -28.597, -7.590, -46.980; unit eV per formula unit.